Lu4GaSnN2 | PBE-GGA | relaxed

Cell: 3.4173 3.4173 14.7052 Å, 90.00 90.00 120.00°
Last column: nearest neighbours and their distance in Å.
Positions (direct):
Lu1 0.0000 0.0000 0.1565  3 N 2.38
Lu2 0.0000 0.0000 0.8435  3 N 2.38
Lu3 0.6667 0.3333 0.3321  3 N 2.33
Lu4 0.6667 0.3333 0.6679  3 N 2.33
Ga1 0.6667 0.3333 0.0000  6 Lu 3.03
Sn1 0.0000 0.0000 0.5000  6 Lu 3.16, 6 Sn 3.42
N1 0.3333 0.6667 0.2473  6 Lu 2.33-2.38
N2 0.3333 0.6667 0.7527  6 Lu 2.33-2.38

## Properties
M_tot: 0.00 Bohr magnetons per cell
uncorrected energy: -51.1 eV for the cell shown


Lu4TlGaN2 | PBE-GGA | relaxed

Cell: 3.4209 3.4209 14.8512 Å, 90.00 90.00 120.00°
Last column: nearest neighbours and their distance in Å.
Positions (direct):
Lu1 0.0000 0.0000 0.1536  3 N 2.39
Lu2 0.0000 0.0000 0.8464  3 N 2.39
Lu3 0.6667 0.3333 0.3283  3 N 2.34
Lu4 0.6667 0.3333 0.6717  3 N 2.34
Tl1 0.0000 0.0000 0.5000  6 Lu 3.23, 6 Tl 3.42
Ga1 0.6667 0.3333 0.0000  6 Lu 3.02
N1 0.3333 0.6667 0.2439  6 Lu 2.34-2.39
N2 0.3333 0.6667 0.7561  6 Lu 2.34-2.39

## Properties
M_tot: 0.00 Bohr magnetons per cell
uncorrected energy: -48.8 eV for the cell shown


Lu4Ga3W2N3 | PBE-GGA | relaxed

Cell: 5.6798 5.6798 13.7915 Å, 101.64 101.64 60.49°
Last column: nearest neighbours and their distance in Å.
Positions (direct):
Lu1 0.0341 0.1978 0.0999  3 N 2.32-2.33
Lu2 0.1299 0.3024 0.4001  3 N 2.31-2.34
Lu3 0.1978 0.0341 0.5999  3 N 2.32-2.33
Lu4 0.3024 0.1299 0.9001  3 N 2.31-2.34
Lu5 0.6976 0.8701 0.0999  3 N 2.31-2.34
Lu6 0.8022 0.9659 0.4001  3 N 2.32-2.33
Lu7 0.8701 0.6976 0.5999  3 N 2.31-2.34
Lu8 0.9659 0.8022 0.9001  3 N 2.32-2.33
Ga1 0.1502 0.8498 0.2500  2 Ga 2.63, 2 W 2.77, 4 Lu 2.91-2.93
Ga2 0.3181 0.4158 0.7510  2 Ga 2.62-2.63, 2 W 2.77-2.79, 4 Lu 2.90-2.93
Ga3 0.4158 0.3181 0.2510  2 Ga 2.62-2.63, 2 W 2.77-2.79, 4 Lu 2.90-2.93
Ga4 0.5842 0.6819 0.7490  2 Ga 2.62-2.63, 2 W 2.77-2.79, 4 Lu 2.90-2.93
Ga5 0.6819 0.5842 0.2490  2 Ga 2.62-2.63, 2 W 2.77-2.79, 4 Lu 2.90-2.93
Ga6 0.8498 0.1502 0.7500  2 Ga 2.63, 2 W 2.77, 4 Lu 2.91-2.93
W1 0.3529 0.5252 0.0764  3 N 2.13-2.17
W2 0.4748 0.6471 0.4236  3 N 2.13-2.17
W3 0.5252 0.3529 0.5764  3 N 2.13-2.17
W4 0.6471 0.4748 0.9236  3 N 2.13-2.17
N1 0.0000 0.5000 0.0000  2 W 2.13, 4 Lu 2.32-2.34
N2 0.1687 0.6659 0.5000  2 W 2.16-2.17, 4 Lu 2.31-2.33
N3 0.3341 0.8313 0.0000  2 W 2.16-2.17, 4 Lu 2.31-2.33
N4 0.5000 0.0000 0.5000  2 W 2.13, 4 Lu 2.32-2.34
N5 0.6659 0.1687 0.0000  2 W 2.16-2.17, 4 Lu 2.31-2.33
N6 0.8313 0.3341 0.5000  2 W 2.16-2.17, 4 Lu 2.31-2.33

## Properties
M_tot: 0.00 Bohr magnetons per cell
uncorrected energy: -176.8 eV for the cell shown


Lu2Ga3W4N3 | PBE-GGA | relaxed

Cell: 5.4862 5.4862 13.5377 Å, 101.95 101.95 60.36°
Last column: nearest neighbours and their distance in Å.
Positions (direct):
Lu1 0.0385 0.8726 0.6142  3 N 2.27-2.37
Lu2 0.1274 0.9615 0.8858  3 N 2.27-2.37
Lu3 0.8726 0.0385 0.1142  3 N 2.27-2.37
Lu4 0.9615 0.1274 0.3858  3 N 2.27-2.37
Ga1 0.0850 0.3924 0.7489  4 W 2.73-2.80, 4 Ga 2.74-2.77
Ga2 0.3924 0.0850 0.2489  4 W 2.73-2.80, 4 Ga 2.74-2.77
Ga3 0.4325 0.5675 0.2500  4 W 2.71-2.79, 4 Ga 2.74-2.76
Ga4 0.5675 0.4325 0.7500  4 W 2.71-2.79, 4 Ga 2.74-2.76
Ga5 0.6076 0.9150 0.7511  4 W 2.73-2.80, 4 Ga 2.74-2.77
Ga6 0.9150 0.6076 0.2511  4 W 2.73-2.80, 4 Ga 2.74-2.77
W1 0.1957 0.3732 0.0775  3 N 2.13-2.15
W2 0.3184 0.4563 0.4228  3 N 2.11-2.15
W3 0.3732 0.1957 0.5775  3 N 2.13-2.15
W4 0.4563 0.3184 0.9228  3 N 2.11-2.15
W5 0.5437 0.6816 0.0772  3 N 2.11-2.15
W6 0.6268 0.8043 0.4225  3 N 2.13-2.15
W7 0.6816 0.5437 0.5772  3 N 2.11-2.15
W8 0.8043 0.6268 0.9225  3 N 2.13-2.15
N1 0.0000 0.5000 0.5000  4 W 2.11-2.13
N2 0.1522 0.6971 0.0003  4 W 2.13-2.15, 2 Lu 2.27-2.28
N3 0.3029 0.8478 0.4997  4 W 2.13-2.15, 2 Lu 2.27-2.28
N4 0.5000 0.0000 0.0000  4 W 2.11-2.13
N5 0.6971 0.1522 0.5003  4 W 2.13-2.15, 2 Lu 2.27-2.28
N6 0.8478 0.3029 0.9997  4 W 2.13-2.15, 2 Lu 2.27-2.28

## Properties
M_tot: 0.01 Bohr magnetons per cell
uncorrected energy: -200.8 eV for the cell shown


Y2Lu4Ga3N3 | PBE-GGA | relaxed

Cell: 5.8893 5.8893 15.0313 Å, 101.56 101.56 59.94°
Last column: nearest neighbours and their distance in Å.
Positions (direct):
Y1 0.0377 0.8731 0.6098  3 N 2.53-2.55
Y2 0.1269 0.9623 0.8902  3 N 2.53-2.55
Y3 0.8731 0.0377 0.1098  3 N 2.53-2.55
Y4 0.9623 0.1269 0.3902  3 N 2.53-2.55
Lu1 0.1944 0.3575 0.0845  3 N 2.30-2.35
Lu2 0.3000 0.4772 0.4155  3 N 2.30-2.34
Lu3 0.3575 0.1944 0.5845  3 N 2.30-2.35
Lu4 0.4772 0.3000 0.9155  3 N 2.30-2.34
Lu5 0.5228 0.7000 0.0845  3 N 2.30-2.34
Lu6 0.6425 0.8056 0.4155  3 N 2.30-2.35
Lu7 0.7000 0.5228 0.5845  3 N 2.30-2.34
Lu8 0.8056 0.6425 0.9155  3 N 2.30-2.35
Ga1 0.0848 0.3604 0.7500  4 Lu 2.96-2.98, 4 Ga 2.99-3.00, 1 Y 3.30
Ga2 0.3604 0.0848 0.2500  4 Lu 2.96-2.98, 4 Ga 2.99-3.00, 1 Y 3.30
Ga3 0.4674 0.5326 0.2500  4 Lu 2.98, 4 Ga 2.99-3.00
Ga4 0.5326 0.4674 0.7500  4 Lu 2.98, 4 Ga 2.99-3.00
Ga5 0.6396 0.9152 0.7500  4 Lu 2.96-2.98, 4 Ga 2.99-3.00, 1 Y 3.30
Ga6 0.9152 0.6396 0.2500  4 Lu 2.96-2.98, 4 Ga 2.99-3.00, 1 Y 3.30
N1 0.0000 0.5000 0.5000  4 Lu 2.31, 2 Y 2.55
N2 0.1665 0.6668 0.9999  4 Lu 2.30-2.35, 2 Y 2.53
N3 0.3332 0.8335 0.5001  4 Lu 2.30-2.35, 2 Y 2.53
N4 0.5000 0.0000 0.0000  4 Lu 2.31, 2 Y 2.55
N5 0.6668 0.1665 0.4999  4 Lu 2.30-2.35, 2 Y 2.53
N6 0.8335 0.3332 0.0001  4 Lu 2.30-2.35, 2 Y 2.53

## Properties
M_tot: 0.00 Bohr magnetons per cell
uncorrected energy: -157.1 eV for the cell shown


Lu4ZnGaN2 | PBE-GGA | relaxed

Cell: 3.3912 3.3912 14.4923 Å, 90.00 90.00 120.00°
Last column: nearest neighbours and their distance in Å.
Positions (direct):
Lu1 0.0000 0.0000 0.1570  3 N 2.39
Lu2 0.0000 0.0000 0.8430  3 N 2.39
Lu3 0.6667 0.3333 0.3396  3 N 2.34
Lu4 0.6667 0.3333 0.6604  3 N 2.34
Zn1 0.6667 0.3333 0.0000  6 Lu 3.00
Ga1 0.0000 0.0000 0.5000  6 Lu 3.04, 6 Ga 3.39
N1 0.3333 0.6667 0.2510  6 Lu 2.34-2.39
N2 0.3333 0.6667 0.7490  6 Lu 2.34-2.39

## Properties
M_tot: 0.00 Bohr magnetons per cell
uncorrected energy: -47.3 eV for the cell shown


NaLuGa | PBE-GGA | relaxed

Cell: 4.7629 4.7629 4.7629 Å, 60.00 60.00 60.00°
Last column: nearest neighbours and their distance in Å.
Positions (direct):
Na1 0.0000 0.0000 0.0000  4 Ga 2.92, 4 Lu 2.92
Lu1 0.2500 0.2500 0.2500  4 Na 2.92
Ga1 0.7500 0.7500 0.7500  4 Na 2.92

## Properties
M_tot: 0.00 Bohr magnetons per cell
uncorrected energy: -7.5 eV for the cell shown


LuNbGa | PBE-GGA | relaxed

Cell: 4.6865 4.6865 4.6865 Å, 60.00 60.00 60.00°
Last column: nearest neighbours and their distance in Å.
Positions (direct):
Lu1 0.0000 0.0000 0.0000  4 Nb 2.87
Nb1 0.7500 0.7500 0.7500  4 Ga 2.87, 4 Lu 2.87
Ga1 0.5000 0.5000 0.5000  4 Nb 2.87

## Properties
distance to the lowest polymorph of the same formula: 0 meV per atom
M_tot: 2.56 Bohr magnetons per cell
uncorrected energy: -15.8 eV for the cell shown